Entry 1:
Density functional theory data (GGA-PBE) for a relaxed NbB2Cl crystal.

a b c (Å): 5.259 5.259 5.259
angles (deg): 116.49 116.49 96.20
Element x y z (fractional)
Nb1 0.000 0.000 0.000
Nb2 0.750 0.250 0.500
B1 0.168 0.625 0.043
B2 0.375 0.418 0.543
B3 0.582 0.125 0.957
B4 0.875 0.832 0.457
Cl1 0.250 0.750 0.500
Cl2 0.500 0.500 0.000

## Properties
**Energy above the lowest structure with this stoichiometry**: 0.0 meV per atom
**SG**: I-42d (122)
**Total DFT energy (no corrections)**: -5.09 eV per atom
**Magnetic moment**: 0.00 Bohr magnetons per cell


Entry 2:
Density functional theory data (GGA-PBE) for a relaxed LiTa2Re crystal.

a b c (Å): 3.264 3.264 5.918
angles (deg): 90.00 90.00 90.00
Element x y z (fractional)
Li1 0.000 0.000 0.000
Ta1 0.000 0.000 0.465
Ta2 0.500 0.500 0.758
Re1 0.500 0.500 0.218

## Properties
**SG**: P4mm (99)
**Formation energy**: 0.205 eV per atom
**Total DFT energy (no corrections)**: -9.31 eV per atom
**Magnetic moment**: 0.00 Bohr magnetons per cell


Entry 3:
Density functional theory data (GGA-PBE) for a relaxed HfTh2Al6 crystal.

a b c (Å): 7.856 7.856 3.571
angles (deg): 90.00 90.00 120.00
Element x y z (fractional)
Hf1 0.000 0.000 0.000
Th1 0.333 0.667 0.000
Th2 0.667 0.333 0.000
Al1 0.000 0.324 0.500
Al2 0.000 0.676 0.500
Al3 0.324 0.000 0.500
Al4 0.324 0.324 0.500
Al5 0.676 0.000 0.500
Al6 0.676 0.676 0.500

## Properties
**SG**: P6/mmm (191)
**Formation energy**: -0.340 eV per atom
**Total DFT energy (no corrections)**: -5.59 eV per atom
**Magnetic moment**: 0.00 Bohr magnetons per cell


total DFT energy (no corrections) of number 2 (LiTa2Re)? -9.31 eV per atom